[1]
Density functional theory data (PBE) for a relaxed NaSc3Sb crystal.

Calculated values
E_form (uncorrected): 0.224 eV per atom
Final energy: -4.6634 eV per atom
SG: Pm-3m, No. 221

abc: 5.482 5.482 5.482
angles: 90.00 90.00 90.00
Atoms (fractional coordinates):
Na1 0.000 0.000 0.000
Sc1 0.000 0.500 0.500
Sc2 0.500 0.000 0.500
Sc3 0.500 0.500 0.000
Sb1 0.500 0.500 0.500

=====

[2]
Density functional theory data (PBE) for a relaxed NaScSb3 crystal.

Calculated values
E_form (uncorrected): -0.108 eV per atom
Final energy: -4.1118 eV per atom
SG: Pm-3m, No. 221

abc: 5.525 5.525 5.525
angles: 90.00 90.00 90.00
Atoms (fractional coordinates):
Na1 0.000 0.000 0.000
Sc1 0.500 0.500 0.500
Sb1 0.000 0.500 0.500
Sb2 0.500 0.000 0.500
Sb3 0.500 0.500 0.000

=====

[3]
Density functional theory data (PBE) for a relaxed Na3ScSb3Se8 crystal.

Calculated values
E_form (uncorrected): -0.778 eV per atom
Final energy: -4.1467 eV per atom
SG: R-3m, No. 166

abc: 8.603 8.603 8.603
angles: 56.21 56.21 56.21
Atoms (fractional coordinates):
Na1 0.000 0.500 0.500
Na2 0.500 0.000 0.500
Na3 0.500 0.500 0.000
Sc1 0.500 0.500 0.500
Sb1 0.000 0.000 0.500
Sb2 0.000 0.500 0.000
Sb3 0.500 0.000 0.000
Se1 0.244 0.244 0.244
Se2 0.252 0.732 0.732
Se3 0.268 0.268 0.748
Se4 0.268 0.748 0.268
Se5 0.732 0.252 0.732
Se6 0.732 0.732 0.252
Se7 0.748 0.268 0.268
Se8 0.756 0.756 0.756

=====

[4]
Density functional theory data (PBE) for a relaxed NaScSbSe2 crystal.

Calculated values
E_form (uncorrected): 0.262 eV per atom
Final energy: -3.4862 eV per atom
SG: P4/mmm, No. 123

abc: 5.069 5.069 5.187
angles: 90.00 90.00 90.00
Atoms (fractional coordinates):
Na1 0.000 0.000 0.000
Sc1 0.500 0.500 0.500
Sb1 0.000 0.000 0.500
Se1 0.000 0.500 0.000
Se2 0.500 0.000 0.000

=====

[5]
Density functional theory data (PBE) for a relaxed NaScTlSb2 crystal.

Calculated values
E_form (uncorrected): 0.549 eV per atom
Final energy: -3.1029 eV per atom
SG: P4/mmm, No. 123

abc: 5.741 5.741 5.091
angles: 90.00 90.00 90.00
Atoms (fractional coordinates):
Na1 0.000 0.000 0.000
Sc1 0.500 0.500 0.000
Tl1 0.000 0.000 0.500
Sb1 0.000 0.500 0.500
Sb2 0.500 0.000 0.500

=====

[6]
Density functional theory data (PBE) for a relaxed Na2ScTlSb crystal.

Calculated values
E_form (uncorrected): 0.278 eV per atom
Final energy: -2.8134 eV per atom
SG: P4/mmm, No. 123

abc: 6.104 6.104 5.397
angles: 90.00 90.00 90.00
Atoms (fractional coordinates):
Na1 0.000 0.500 0.000
Na2 0.500 0.000 0.000
Sc1 0.000 0.000 0.000
Tl1 0.500 0.500 0.500
Sb1 0.000 0.000 0.500